DFT (GGA-PBE) results for a relaxed structure of Ba4Br2NCl.

Properties
For the magnetization, the calculation gives 0.001 Bohr magnetons per cell. The total energy comes out at -4.07 eV/atom. The formation energy (no corrections) is -1.4143 eV per atom. Its symmetry is No. 10. As for the density of states at the Fermi level: 0.416 states/eV per atom.

```
Ba4Br2NCl
1.0
7.810 0.000 0.000
0.000 4.341 0.000
-2.414 0.000 7.731
Ba Br N Cl
4 2 1 1
direct
0.204 0.000 0.197
0.226 0.500 0.789
0.774 0.500 0.211
0.796 0.000 0.803
0.000 0.000 0.500
0.500 0.500 0.500
0.000 0.500 0.000
0.500 0.000 0.000
```